CoNiN2F | PBE+U | relaxed

Results
Relative energy among the computed polymorphs in meV per atom: 85.4
M_tot in Bohr magnetons per cell: 5.29

Lattice parameters (Å, degrees): 3.707 3.707 3.955 90.00 90.00 90.00
Positions (direct):
Co  0.000  0.000  0.000
Ni  0.500  0.500  0.500
N  0.000  0.500  0.500
N  0.500  0.000  0.500
F  0.500  0.500  0.000